(1)
# Er7ZrTl4 (PBE, optimized geometry)
# ΔH_f (0 K) = 0.02 eV/atom
# Energy = -49.7 eV per cell
data_Er7ZrTl4
_chemical_formula_sum 'Er7 Zr1 Tl4'
_symmetry_space_group_name_H-M 'P 1'
_symmetry_Int_Tables_number 1
_symmetry_space_group_name_Hall 'P 1'
_cell_length_a 7.902
_cell_length_b 7.902
_cell_length_c 9.578
_cell_angle_alpha 118.97
_cell_angle_beta 118.97
_cell_angle_gamma 42.27
loop_
_atom_site_label
_atom_site_fract_x
_atom_site_fract_y
_atom_site_fract_z
Er1 0.000 0.000 0.000
Er2 0.252 0.252 0.710
Er3 0.301 0.301 0.118
Er4 0.433 0.433 0.601
Er5 0.567 0.567 0.399
Er6 0.699 0.699 0.882
Er7 0.748 0.748 0.290
Zr1 0.500 0.500 0.000
Tl1 0.049 0.049 0.708
Tl2 0.186 0.186 0.343
Tl3 0.814 0.814 0.657
Tl4 0.951 0.951 0.292


(2)
# PrZr2N (PBE, optimized geometry)
# Energy = -32.8 eV per cell
# ΔE_f (raw) = -0.64 eV/atom
data_PrZr2N
_chemical_formula_sum 'Pr1 Zr2 N1'
_symmetry_space_group_name_H-M 'P 1'
_symmetry_Int_Tables_number 1
_symmetry_space_group_name_Hall 'P 1'
_cell_length_a 9.163
_cell_length_b 9.163
_cell_length_c 9.163
_cell_angle_alpha 20.85
_cell_angle_beta 20.85
_cell_angle_gamma 20.85
loop_
_atom_site_label
_atom_site_fract_x
_atom_site_fract_y
_atom_site_fract_z
Pr1 0.000 0.000 0.000
Zr1 0.121 0.121 0.121
Zr2 0.879 0.879 0.879
N1 0.500 0.500 0.500


(3)
# CsRb2Pb (PBE, optimized geometry)
# ΔH_f (0 K) = 0.31 eV/atom
# Energy = -5.3 eV per cell
data_CsRb2Pb
_chemical_formula_sum 'Cs1 Rb2 Pb1'
_symmetry_space_group_name_H-M 'P 1'
_symmetry_Int_Tables_number 1
_symmetry_space_group_name_Hall 'P 1'
_cell_length_a 16.468
_cell_length_b 16.468
_cell_length_c 16.468
_cell_angle_alpha 15.43
_cell_angle_beta 15.43
_cell_angle_gamma 15.43
loop_
_atom_site_label
_atom_site_fract_x
_atom_site_fract_y
_atom_site_fract_z
Cs1 0.000 0.000 0.000
Rb1 0.426 0.426 0.426
Rb2 0.574 0.574 0.574
Pb1 0.500 0.500 0.500